Entry 1:
14
Lattice="2.087 -8.570 0.000 2.087 8.570 0.000 0.000 0.000 6.702" Properties=species:S:1:pos:R:3 comment="Ca2Si3Ni2 PBE optimized geometry" e_form_raw_ev_per_atom=-0.50 vol_a3_per_cell=240 pbc="T T T"
Ca 2.087 7.579 5.026
Ca 2.087 5.869 1.675
Ca 2.087 -5.869 5.026
Ca 2.087 -7.579 1.675
Si 2.087 4.654 5.026
Si 2.087 1.081 3.834
Si 2.087 1.081 6.219
Si 2.087 -1.081 0.483
Si 2.087 -1.081 2.868
Si 2.087 -4.654 1.675
Ni 2.087 3.321 0.381
Ni 2.087 3.321 2.970
Ni 2.087 -3.321 3.732
Ni 2.087 -3.321 6.321


Entry 2:
28
Lattice="5.629 0.000 0.000 0.000 7.887 0.000 0.000 0.000 12.687" Properties=species:S:1:pos:R:3 comment="Ca3Si2Ni2 PBE optimized geometry" e_form_raw_ev_per_atom=-0.51 vol_a3_per_cell=563 pbc="T T T"
Ca 0.735 0.910 1.319
Ca 0.735 0.910 5.024
Ca 0.735 3.034 7.663
Ca 0.735 3.034 11.367
Ca 1.969 5.804 9.515
Ca 1.969 6.027 3.172
Ca 3.660 1.861 9.515
Ca 3.660 2.083 3.172
Ca 4.894 4.854 1.319
Ca 4.894 4.854 5.024
Ca 4.894 6.977 7.663
Ca 4.894 6.977 11.367
Si 1.032 0.663 9.515
Si 1.032 3.281 3.172
Si 2.276 5.915 0.000
Si 2.276 5.915 6.343
Si 3.352 1.972 0.000
Si 3.352 1.972 6.343
Si 4.596 4.606 9.515
Si 4.596 7.225 3.172
Ni 2.152 0.170 7.415
Ni 2.152 0.170 11.615
Ni 2.152 3.774 1.072
Ni 2.152 3.774 5.271
Ni 3.477 4.114 7.415
Ni 3.477 4.114 11.615
Ni 3.477 7.717 1.072
Ni 3.477 7.717 5.271


Entry 3:
12
Lattice="6.448 0.000 0.000 0.000 6.448 0.000 0.000 0.000 6.448" Properties=species:S:1:pos:R:3 comment="CaSiNi PBE optimized geometry" e_form_raw_ev_per_atom=0.71 vol_a3_per_cell=268 pbc="T T T"
Ca 0.000 0.000 0.000
Ca 0.000 3.224 3.224
Ca 3.224 0.000 3.224
Ca 3.224 3.224 0.000
Si 1.612 1.612 4.836
Si 1.612 4.836 1.612
Si 4.836 1.612 1.612
Si 4.836 4.836 4.836
Ni 1.612 1.612 1.612
Ni 1.612 4.836 4.836
Ni 4.836 1.612 4.836
Ni 4.836 4.836 1.612


Entry 4:
12
Lattice="7.139 -1.923 0.000 7.139 1.923 0.000 -2.932 0.000 6.526" Properties=species:S:1:pos:R:3 comment="CaSi2Ni3 PBE optimized geometry" e_form_raw_ev_per_atom=-0.56 vol_a3_per_cell=179 pbc="T T T"
Ca 2.024 0.000 0.486
Ca 9.322 0.000 6.041
Si 0.651 0.000 4.183
Si 4.476 0.000 5.358
Si 6.870 0.000 1.168
Si 10.695 0.000 2.344
Ni -0.618 0.000 2.319
Ni 2.897 0.000 3.695
Ni 4.832 0.000 2.181
Ni 6.514 0.000 4.345
Ni 8.449 0.000 2.831
Ni 11.963 0.000 4.207


Entry 5:
20
Lattice="5.803 3.350 2.122 -5.803 3.350 2.122 0.000 -6.700 2.122" Properties=species:S:1:pos:R:3 comment="CaSi7Ni12 PBE optimized geometry" e_form_raw_ev_per_atom=-0.40 vol_a3_per_cell=248 pbc="T T T"
Ca 0.000 0.000 0.000
Si 0.000 -2.347 1.799
Si -2.033 1.174 1.799
Si -2.033 -1.174 4.568
Si 0.000 0.000 3.184
Si 2.033 1.174 1.799
Si 2.033 -1.174 4.568
Si 0.000 2.347 4.568
Ni -1.485 -4.129 2.122
Ni -4.318 0.778 2.122
Ni -1.871 -1.080 2.260
Ni 1.485 -4.129 2.122
Ni -2.833 3.350 2.122
Ni 1.871 -1.080 2.260
Ni 0.000 2.160 2.260
Ni 0.000 -2.160 4.107
Ni -1.871 1.080 4.107
Ni 4.318 0.778 2.122
Ni 2.833 3.350 2.122
Ni 1.871 1.080 4.107


Entry 6:
18
Lattice="7.703 -1.936 0.000 7.703 1.936 0.000 -2.461 0.000 8.959" Properties=species:S:1:pos:R:3 comment="CaSi3Ni2 PBE optimized geometry" e_form_raw_ev_per_atom=-0.52 vol_a3_per_cell=267 pbc="T T T"
Ca 0.000 0.000 0.000
Ca 0.598 0.000 6.315
Ca 12.347 0.000 2.645
Si -0.097 0.000 3.226
Si 2.490 0.000 3.312
Si 5.256 0.000 0.531
Si 3.606 0.000 7.260
Si 6.472 0.000 4.480
Si 9.339 0.000 1.699
Si 7.689 0.000 8.428
Si 10.454 0.000 5.647
Si 13.042 0.000 5.733
Ni 2.894 0.000 0.894
Ni 4.082 0.000 4.991
Ni 7.016 0.000 2.171
Ni 5.929 0.000 6.789
Ni 8.863 0.000 3.968
Ni 10.050 0.000 8.066


Entry 7:
12
Lattice="6.137 0.000 0.000 0.000 6.137 0.000 0.000 0.000 6.137" Properties=species:S:1:pos:R:3 comment="CaSiNi PBE optimized geometry" e_form_raw_ev_per_atom=-0.11 vol_a3_per_cell=231 pbc="T T T"
Ca 0.000 0.000 0.000
Ca 0.000 3.068 3.068
Ca 3.068 0.000 3.068
Ca 3.068 3.068 0.000
Si 0.000 0.000 3.068
Si 0.000 3.068 0.000
Si 3.068 0.000 0.000
Si 3.068 3.068 3.068
Ni 1.534 1.534 1.534
Ni 1.534 4.602 4.602
Ni 4.602 1.534 4.602
Ni 4.602 4.602 1.534


Entry 8:
6
Lattice="0.000 3.434 3.434 3.434 0.000 3.434 3.434 3.434 0.000" Properties=species:S:1:pos:R:3 comment="CaSiNi4 PBE optimized geometry" e_form_raw_ev_per_atom=-0.11 vol_a3_per_cell=81 pbc="T T T"
Ca 0.000 0.000 0.000
Si 1.717 1.717 1.717
Ni 4.283 2.584 2.584
Ni 2.584 4.283 2.584
Ni 2.584 2.584 4.283
Ni 4.283 4.283 4.283